## MgTaBr2 (PBE)

Data for a relaxed structure of MgTaBr2.

Results
VASP energy = -3.730 eV per atom
Magnetic moment = 0.92 Bohr magnetons per cell
Relative energy among the computed polymorphs = 83.2 kJ per mole of atoms
Raw formation energy = 0.468 eV/atom

Cell lengths 6.3967, 8.0073, 3.2126 Å; angles 90.00, 90.00, 90.00 degrees
Space group Cmmm (No. 65)
Asymmetric unit:
1 Mg 0.0000 0.0000 0.0000 x2
2 Ta 0.0000 0.5000 0.0000 x2
3 Br 0.2500 0.2500 0.5000 x4